Material: BaZr3Br
Method: DFT, meta-GGA SCAN
State: single point on PBEsol structure

Properties
Symmetry: No. 221
Calculated density: 5.5 Mg/m³
ΔE_f (raw): 1864 meV per atom
Raw total energy: -28.357 eV/atom

Cell: 5.285 5.285 5.285 Å, 90.00 90.00 90.00°
Positions (direct):
Br 0.500 0.500 0.500
Ba 0.000 0.000 0.000
Zr 0.000 0.500 0.000
Zr 0.000 0.000 0.500
Zr 0.500 0.000 0.000

Material: SrLaAg2
Method: DFT, meta-GGA SCAN
State: single point on PBEsol structure

Properties
Symmetry: No. 166
Calculated density: 5.9 Mg/m³
Formation enthalpy at 0 K: -0.16 eV per atom
Raw total energy: -32.188 eV/atom

Cell: 4.399 4.399 7.879 Å, 73.79 73.79 60.00°
Positions (direct):
Ag 0.755 0.755 0.735
Ag 0.245 0.245 0.265
La 0.500 0.500 0.500
Sr 0.000 0.000 0.000

Material: BaPb3Cl
Method: DFT, meta-GGA SCAN
State: single point on PBEsol structure

Properties
Symmetry: No. 221
Calculated density: 5.4 Mg/m³
ΔE_f (raw): 721 meV per atom
Raw total energy: -54.253 eV/atom

Cell: 6.247 6.247 6.247 Å, 90.00 90.00 90.00°
Positions (direct):
Pb 0.000 0.500 0.000
Pb 0.000 0.000 0.500
Pb 0.500 0.000 0.000
Ba 0.000 0.000 0.000
Cl 0.500 0.500 0.500

Material: NaMnRuI2
Method: DFT, meta-GGA SCAN
State: single point on PBEsol structure

Properties
Symmetry: No. 123
Calculated density: 5.2 Mg/m³
ΔE_f (raw): 944 meV per atom
Raw total energy: -25.212 eV/atom

Cell: 5.182 5.182 5.098 Å, 90.00 90.00 90.00°
Last column: magnetic moment on the atom in μB.
Positions (direct):
I 0.000 0.500 0.000  0.09
I 0.500 0.000 0.000  0.09
Ru 0.500 0.500 0.500  2.94
Mn 0.000 0.000 0.000  3.72
Na 0.000 0.000 0.500  -0.03

Material: FeGe3H
Method: DFT, meta-GGA SCAN
State: single point on PBEsol structure

Properties
Symmetry: No. 221
Calculated density: 5.3 Mg/m³
Raw total energy: -15.242 eV/atom

Cell: 4.410 4.410 4.410 Å, 90.00 90.00 90.00°
Last column: magnetic moment on the atom in μB.
Positions (direct):
H 0.500 0.500 0.500  -0.06
Ge 0.000 0.500 0.000  0.02
Ge 0.000 0.000 0.500  0.02
Ge 0.500 0.000 0.000  0.02
Fe 0.000 0.000 0.000  0.89

Material: TaTiNiN2
Method: DFT, meta-GGA SCAN
State: single point on PBEsol structure

Properties
Symmetry: No. 123
Calculated density: 6.3 Mg/m³
ΔE_f (raw): 914 meV per atom
Raw total energy: -22.560 eV/atom

Cell: 3.900 3.900 5.483 Å, 90.00 90.00 90.00°
Last column: magnetic moment on the atom in μB.
Positions (direct):
Ni 0.500 0.500 0.500  1.07
N 0.000 0.500 0.000  0.39
N 0.500 0.000 0.000  0.39
Ti 0.000 0.000 0.500  -0.76
Ta 0.000 0.000 0.000  -0.08

Material: Ca2MnAl
Method: DFT, meta-GGA SCAN
State: single point on PBEsol structure

Properties
Symmetry: No. 38
Calculated density: 2.6 Mg/m³
Formation enthalpy at 0 K: -0.04 eV per atom
Raw total energy: -11.377 eV/atom

Cell: 3.774 4.571 6.288 Å, 90.00 107.47 90.00°
Last column: magnetic moment on the atom in μB.
Positions (direct):
Ca 0.027 0.000 0.930  -0.04
Ca 0.721 0.500 0.316  -0.03
Mn 0.322 0.000 0.520  4.07
Al 0.430 0.500 0.734  -0.07

Material: Sr2CoIr
Method: DFT, meta-GGA SCAN
State: single point on PBEsol structure

Properties
Symmetry: No. 216
Calculated density: 8.5 Mg/m³
Formation enthalpy at 0 K: 0.44 eV per atom
Raw total energy: -32.796 eV/atom

Cell: 4.897 4.897 4.897 Å, 60.00 60.00 60.00°
Last column: magnetic moment on the atom in μB.
Positions (direct):
Co 0.500 0.500 0.500  1.89
Ir 0.250 0.250 0.250  0.16
Sr 0.000 0.000 0.000  -0.05
Sr 0.750 0.750 0.750  -0.06